First-principles (PBE) data for K2PAu after structural relaxation, as listed in Alexandria via LeMat-Bulk.

Cell: 4.5211 5.3700 10.6124 Å, 90.00 90.00 90.00°
Last column: nearest neighbours and their distance in Å.
Space group Amm2 (No. 38)
One atom of each set of equivalent atoms:
K (0.0000, 0.0000, 0.0000)  3 P 3.32-3.35
K (0.5000, 0.0000, 0.3012)  3 Au 3.32-3.36
P (0.0000, 0.0000, 0.6846)  2 Au 2.37
Au (0.5000, 0.0000, 0.6178)  2 P 2.37

Output
The calculation puts the total magnetization at 0.000 μB per formula unit. The energy of formation from the pure elements is -10.05 kcal/mol of atoms. Its crystal system is orthorhombic.

***

First-principles (PBE) data for CaAcI2N after structural relaxation, as listed in Alexandria via LeMat-Bulk.

Cell: 4.4841 4.4841 16.8364 Å, 90.00 90.00 90.00°
Last column: nearest neighbours and their distance in Å.
Space group P4/nmm (No. 129, origin choice 2)
One atom of each set of equivalent atoms:
Ca (0.2500, 0.2500, 0.1145)  5 I 2.91-3.21
Ac (0.2500, 0.2500, 0.5660)  4 N 2.50
I (0.2500, 0.2500, 0.2872)  1 Ca 2.91
I (0.2500, 0.2500, 0.9159)  5 Ca 3.21-3.34
N (0.2500, 0.7500, 0.5000)  4 Ac 2.50

Output
As for the formation energy (no corrections): -1228 meV/atom. The calculation puts the total magnetization at 0.226 μB per formula unit. Its crystal system is tetragonal. The density of states at the Fermi level comes out at 4.1 states/eV per cell.

***

First-principles (PBE) data for LiHfAl after structural relaxation, as listed in Alexandria via LeMat-Bulk.

Cell: 6.4905 6.4905 6.4905 Å, 90.00 90.00 90.00°
Last column: nearest neighbours and their distance in Å.
Space group F-43m (No. 216)
One atom of each set of equivalent atoms:
Li (0.0000, 0.0000, 0.0000)  4 Hf 2.81
Hf (0.2500, 0.2500, 0.7500)  4 Li 2.81, 4 Al 2.81
Al (0.0000, 0.0000, 0.5000)  4 Hf 2.81

Output
The excess energy over the best structure of this formula in the dataset comes out at 0.887 eV/atom. The calculation puts the total magnetization at 0.000 μB per formula unit. The energy of formation from the pure elements is 16.42 kcal/mol of atoms. Its crystal system is cubic. The density of states at the Fermi level comes out at 1.6 states/eV per cell.

***

First-principles (PBE) data for CuNi2Mo after structural relaxation, as listed in Alexandria via LeMat-Bulk.

Cell: 4.3449 4.3449 2.6644 Å, 90.00 90.00 90.00°
Last column: nearest neighbours and their distance in Å.
Space group P4/mmm (No. 123)
One atom of each set of equivalent atoms:
Cu (0.0000, 0.0000, 0.0000)  8 Ni 2.55, 2 Cu 2.66
Ni (0.0000, 0.5000, 0.5000)  4 Mo 2.55, 4 Cu 2.55, 2 Ni 2.66
Mo (0.5000, 0.5000, 0.0000)  8 Ni 2.55, 2 Mo 2.66

Output
The excess energy over the best structure of this formula in the dataset comes out at 0.183 eV/atom. The calculation puts the total magnetization at 0.000 μB per formula unit. The energy of formation from the pure elements is 4.05 kcal/mol of atoms. Its crystal system is tetragonal. The density of states at the Fermi level comes out at 5.3 states/eV per cell.

***

First-principles (PBE) data for K2AlHg after structural relaxation, as listed in Alexandria via LeMat-Bulk.

Cell: 3.7551 3.7551 35.1430 Å, 90.00 90.00 120.00°
Last column: nearest neighbours and their distance in Å.
Space group R-3m (No. 166, hexagonal axes)
One atom of each set of equivalent atoms:
K (0.0000, 0.0000, 0.2487)  3 Al 3.61, 3 Hg 3.68, 6 K 3.76
Al (0.0000, 0.0000, 0.5000)  6 K 3.61, 6 Al 3.76
Hg (0.0000, 0.0000, 0.0000)  6 K 3.68, 6 Hg 3.76

Output
The excess energy over the best structure of this formula in the dataset comes out at 0.246 eV/atom. The calculation puts the total magnetization at 0.000 μB per formula unit. The energy of formation from the pure elements is 5.82 kcal/mol of atoms. Its crystal system is trigonal. The density of states at the Fermi level comes out at 8.1 states/eV per cell.

***

First-principles (PBE) data for Rb2CdCu after structural relaxation, as listed in Alexandria via LeMat-Bulk.

Cell: 9.8292 9.8292 7.3204 Å, 90.00 90.00 90.00°
Last column: nearest neighbours and their distance in Å.
Space group I-42d (No. 122)
One atom of each set of equivalent atoms:
Rb (0.2102, 0.2500, 0.1250)  2 Cu 3.34
Cd (0.0000, 0.0000, 0.5000)  2 Cu 3.66, 4 Rb 3.87
Cu (0.0000, 0.0000, 0.0000)  4 Rb 3.34, 2 Cd 3.66

Output
The calculation puts the total magnetization at 0.000 μB per formula unit. The energy of formation from the pure elements is 8.31 kcal/mol of atoms. Its crystal system is tetragonal. The density of states at the Fermi level comes out at 9.1 states/eV per cell.